A geometry-optimized CoSeN2F structure. Source: Alexandria via LeMat-Bulk, functional PBE with a Hubbard U.

a b c (Å): 4.0114 4.0114 4.1296
angles (deg): 90.00 90.00 90.00
Last column: magnetic moment on the atom in μB.
Sites, in units of the cell vectors:
N 0.0000 0.5000 0.0000  0.93
N 0.5000 0.0000 0.0000  0.93
Se 0.0000 0.0000 0.5000  0.07
Co 0.5000 0.5000 0.5000  2.53
F 0.0000 0.0000 0.0000  0.01

symmetry = No. 123
calculated volume = 66.5 Å³ per cell
uncorrected energy = -15.74 eV/cell
energy relative to the lowest polymorph listed for this composition = 1381 meV per atom